1.
Here is a relaxed Ac2CePrBi4 crystal from Alexandria. Energies are from PBE.

Structure (CIF):
```
data_Ac2CePrBi4
_symmetry_space_group_name_H-M 'P 1'
_symmetry_Int_Tables_number 1
_cell_length_a 8.226
_cell_length_b 4.753
_cell_length_c 8.236
_cell_angle_alpha 90.00
_cell_angle_beta 109.45
_cell_angle_gamma 90.00
loop_
_symmetry_equiv_pos_as_xyz
'x,y,z'
loop_
_atom_site_label
_atom_site_type_symbol
_atom_site_fract_x
_atom_site_fract_y
_atom_site_fract_z
Ac1 Ac 0.000 0.000 0.000
Ac2 Ac 0.500 0.500 0.000
Ce1 Ce 0.000 0.500 0.500
Pr1 Pr 0.500 0.000 0.500
Bi1 Bi 0.243 0.000 0.734
Bi2 Bi 0.252 0.500 0.264
Bi3 Bi 0.748 0.500 0.736
Bi4 Bi 0.757 0.000 0.266
```

Summary:
Formation energy ... -7.5 eV/f.u.
Total magnetic moment ... 0.81 Bohr magnetons per cell

=====

2.
Here is a relaxed Ac2CeBi3Rh4 crystal from Alexandria. Energies are from PBE.

Structure (CIF):
```
data_Ac2CeBi3Rh4
_symmetry_space_group_name_H-M 'P 1'
_symmetry_Int_Tables_number 1
_cell_length_a 4.758
_cell_length_b 4.758
_cell_length_c 11.131
_cell_angle_alpha 90.00
_cell_angle_beta 90.00
_cell_angle_gamma 90.00
loop_
_symmetry_equiv_pos_as_xyz
'x,y,z'
loop_
_atom_site_label
_atom_site_type_symbol
_atom_site_fract_x
_atom_site_fract_y
_atom_site_fract_z
Ac1 Ac 0.000 0.500 0.220
Ac2 Ac 0.500 0.000 0.780
Ce1 Ce 0.000 0.000 0.500
Bi1 Bi 0.000 0.500 0.873
Bi2 Bi 0.500 0.000 0.127
Bi3 Bi 0.500 0.500 0.500
Rh1 Rh 0.000 0.000 0.000
Rh2 Rh 0.000 0.500 0.631
Rh3 Rh 0.500 0.000 0.369
Rh4 Rh 0.500 0.500 0.000
```

Summary:
Formation energy ... -6.2 eV/f.u.
Total magnetic moment ... 0.65 Bohr magnetons per cell

=====

3.
Here is a relaxed AcCeBiS crystal from Alexandria. Energies are from PBE.

Structure (CIF):
```
data_AcCeBiS
_symmetry_space_group_name_H-M 'P 1'
_symmetry_Int_Tables_number 1
_cell_length_a 4.975
_cell_length_b 4.975
_cell_length_c 10.917
_cell_angle_alpha 90.00
_cell_angle_beta 90.00
_cell_angle_gamma 90.00
loop_
_symmetry_equiv_pos_as_xyz
'x,y,z'
loop_
_atom_site_label
_atom_site_type_symbol
_atom_site_fract_x
_atom_site_fract_y
_atom_site_fract_z
Ac1 Ac 0.250 0.250 0.139
Ac2 Ac 0.750 0.750 0.861
Ce1 Ce 0.250 0.750 0.500
Ce2 Ce 0.750 0.250 0.500
Bi1 Bi 0.250 0.250 0.698
Bi2 Bi 0.750 0.750 0.302
S1 S 0.250 0.750 0.000
S2 S 0.750 0.250 0.000
```

Summary:
Total magnetic moment ... 4.03 Bohr magnetons per cell
DFT total energy ... -5.68 eV per atom

=====

4.
Here is a relaxed AcCeSm2Bi4 crystal from Alexandria. Energies are from PBE.

Structure (CIF):
```
data_AcCeSm2Bi4
_symmetry_space_group_name_H-M 'P 1'
_symmetry_Int_Tables_number 1
_cell_length_a 8.057
_cell_length_b 4.657
_cell_length_c 8.064
_cell_angle_alpha 90.00
_cell_angle_beta 109.44
_cell_angle_gamma 90.00
loop_
_symmetry_equiv_pos_as_xyz
'x,y,z'
loop_
_atom_site_label
_atom_site_type_symbol
_atom_site_fract_x
_atom_site_fract_y
_atom_site_fract_z
Ac1 Ac 0.000 0.000 0.000
Ce1 Ce 0.000 0.500 0.500
Sm1 Sm 0.500 0.000 0.500
Sm2 Sm 0.500 0.500 0.000
Bi1 Bi 0.257 0.000 0.745
Bi2 Bi 0.262 0.500 0.262
Bi3 Bi 0.738 0.500 0.738
Bi4 Bi 0.743 0.000 0.255
```

Summary:
Formation energy ... -7.2 eV/f.u.
Total magnetic moment ... 0.84 Bohr magnetons per cell

=====

5.
Here is a relaxed Ac2Ce3SmBi6 crystal from Alexandria. Energies are from PBE.

Structure (CIF):
```
data_Ac2Ce3SmBi6
_symmetry_space_group_name_H-M 'P 1'
_symmetry_Int_Tables_number 1
_cell_length_a 8.126
_cell_length_b 8.126
_cell_length_c 8.132
_cell_angle_alpha 99.61
_cell_angle_beta 99.61
_cell_angle_gamma 120.00
loop_
_symmetry_equiv_pos_as_xyz
'x,y,z'
loop_
_atom_site_label
_atom_site_type_symbol
_atom_site_fract_x
_atom_site_fract_y
_atom_site_fract_z
Ac1 Ac 0.165 0.835 0.000
Ac2 Ac 0.835 0.165 0.000
Ce1 Ce 0.000 0.000 0.500
Ce2 Ce 0.330 0.670 0.500
Ce3 Ce 0.670 0.330 0.500
Sm1 Sm 0.500 0.500 0.000
Bi1 Bi 0.090 0.414 0.740
Bi2 Bi 0.265 0.265 0.263
Bi3 Bi 0.414 0.090 0.740
Bi4 Bi 0.586 0.910 0.260
Bi5 Bi 0.735 0.735 0.737
Bi6 Bi 0.910 0.586 0.260
```

Summary:
Formation energy ... -10.5 eV/f.u.
Total magnetic moment ... 2.60 Bohr magnetons per cell

=====

6.
Here is a relaxed AcTbCe2Bi4 crystal from Alexandria. Energies are from PBE.

Structure (CIF):
```
data_AcTbCe2Bi4
_symmetry_space_group_name_H-M 'P 1'
_symmetry_Int_Tables_number 1
_cell_length_a 8.054
_cell_length_b 4.652
_cell_length_c 8.060
_cell_angle_alpha 90.00
_cell_angle_beta 109.44
_cell_angle_gamma 90.00
loop_
_symmetry_equiv_pos_as_xyz
'x,y,z'
loop_
_atom_site_label
_atom_site_type_symbol
_atom_site_fract_x
_atom_site_fract_y
_atom_site_fract_z
Ac1 Ac 0.000 0.000 0.000
Tb1 Tb 0.000 0.500 0.500
Ce1 Ce 0.500 0.000 0.500
Ce2 Ce 0.500 0.500 0.000
Bi1 Bi 0.252 0.000 0.740
Bi2 Bi 0.260 0.500 0.264
Bi3 Bi 0.740 0.500 0.736
Bi4 Bi 0.748 0.000 0.260
```

Summary:
Formation energy ... -6.8 eV/f.u.
Total magnetic moment ... 1.72 Bohr magnetons per cell

=====

7.
Here is a relaxed Ac2TbCeBi5 crystal from Alexandria. Energies are from PBE.

Structure (CIF):
```
data_Ac2TbCeBi5
_symmetry_space_group_name_H-M 'P 1'
_symmetry_Int_Tables_number 1
_cell_length_a 5.501
_cell_length_b 5.501
_cell_length_c 12.254
_cell_angle_alpha 90.00
_cell_angle_beta 90.00
_cell_angle_gamma 90.00
loop_
_symmetry_equiv_pos_as_xyz
'x,y,z'
loop_
_atom_site_label
_atom_site_type_symbol
_atom_site_fract_x
_atom_site_fract_y
_atom_site_fract_z
Ac1 Ac 0.000 0.000 0.218
Ac2 Ac 0.000 0.000 0.782
Tb1 Tb 0.500 0.500 0.000
Ce1 Ce 0.500 0.500 0.500
Bi1 Bi 0.000 0.000 0.500
Bi2 Bi 0.000 0.500 0.000
Bi3 Bi 0.500 0.000 0.000
Bi4 Bi 0.500 0.500 0.253
Bi5 Bi 0.500 0.500 0.747
```

Summary:
Formation energy ... -2.9 eV/f.u.
Total magnetic moment ... 0.76 Bohr magnetons per cell

=====

8.
Here is a relaxed AcCeBiTe crystal from Alexandria. Energies are from PBE.

Structure (CIF):
```
data_AcCeBiTe
_symmetry_space_group_name_H-M 'P 1'
_symmetry_Int_Tables_number 1
_cell_length_a 5.699
_cell_length_b 5.699
_cell_length_c 5.699
_cell_angle_alpha 60.00
_cell_angle_beta 60.00
_cell_angle_gamma 60.00
loop_
_symmetry_equiv_pos_as_xyz
'x,y,z'
loop_
_atom_site_label
_atom_site_type_symbol
_atom_site_fract_x
_atom_site_fract_y
_atom_site_fract_z
Ac1 Ac 0.000 0.000 0.000
Ce1 Ce 0.500 0.500 0.500
Bi1 Bi 0.250 0.250 0.250
Te1 Te 0.750 0.750 0.750
```

Summary:
Total magnetic moment ... 1.90 Bohr magnetons per cell
DFT total energy ... -5.26 eV per atom

=====

9.
Here is a relaxed Ac2CeThBi5 crystal from Alexandria. Energies are from PBE.

Structure (CIF):
```
data_Ac2CeThBi5
_symmetry_space_group_name_H-M 'P 1'
_symmetry_Int_Tables_number 1
_cell_length_a 5.771
_cell_length_b 5.771
_cell_length_c 12.227
_cell_angle_alpha 90.00
_cell_angle_beta 90.00
_cell_angle_gamma 90.00
loop_
_symmetry_equiv_pos_as_xyz
'x,y,z'
loop_
_atom_site_label
_atom_site_type_symbol
_atom_site_fract_x
_atom_site_fract_y
_atom_site_fract_z
Ac1 Ac 0.000 0.000 0.216
Ac2 Ac 0.000 0.000 0.784
Ce1 Ce 0.500 0.500 0.500
Th1 Th 0.500 0.500 0.000
Bi1 Bi 0.000 0.000 0.500
Bi2 Bi 0.000 0.500 0.000
Bi3 Bi 0.500 0.000 0.000
Bi4 Bi 0.500 0.500 0.255
Bi5 Bi 0.500 0.500 0.745
```

Summary:
Formation energy ... -1.6 eV/f.u.
Total magnetic moment ... 0.79 Bohr magnetons per cell

=====

10.
Here is a relaxed AcCe2ThBi4 crystal from Alexandria. Energies are from PBE.

Structure (CIF):
```
data_AcCe2ThBi4
_symmetry_space_group_name_H-M 'P 1'
_symmetry_Int_Tables_number 1
_cell_length_a 8.076
_cell_length_b 4.670
_cell_length_c 8.107
_cell_angle_alpha 90.00
_cell_angle_beta 109.38
_cell_angle_gamma 90.00
loop_
_symmetry_equiv_pos_as_xyz
'x,y,z'
loop_
_atom_site_label
_atom_site_type_symbol
_atom_site_fract_x
_atom_site_fract_y
_atom_site_fract_z
Ac1 Ac 0.000 0.000 0.000
Ce1 Ce 0.500 0.000 0.500
Ce2 Ce 0.500 0.500 0.000
Th1 Th 0.000 0.500 0.500
Bi1 Bi 0.254 0.000 0.743
Bi2 Bi 0.260 0.500 0.262
Bi3 Bi 0.740 0.500 0.738
Bi4 Bi 0.746 0.000 0.257
```

Summary:
Formation energy ... -6.3 eV/f.u.
Total magnetic moment ... 2.01 Bohr magnetons per cell

=====

11.
Here is a relaxed AcCeTlBi crystal from Alexandria. Energies are from PBE.

Structure (CIF):
```
data_AcCeTlBi
_symmetry_space_group_name_H-M 'P 1'
_symmetry_Int_Tables_number 1
_cell_length_a 5.729
_cell_length_b 5.729
_cell_length_c 5.729
_cell_angle_alpha 60.00
_cell_angle_beta 60.00
_cell_angle_gamma 60.00
loop_
_symmetry_equiv_pos_as_xyz
'x,y,z'
loop_
_atom_site_label
_atom_site_type_symbol
_atom_site_fract_x
_atom_site_fract_y
_atom_site_fract_z
Ac1 Ac 0.000 0.000 0.000
Ce1 Ce 0.500 0.500 0.500
Tl1 Tl 0.750 0.750 0.750
Bi1 Bi 0.250 0.250 0.250
```

Summary:
Formation energy ... -1.6 eV/f.u.
Total magnetic moment ... 1.70 Bohr magnetons per cell

=====

12.
Here is a relaxed Ac4CeTm3Bi8 crystal from Alexandria. Energies are from PBE.

Structure (CIF):
```
data_Ac4CeTm3Bi8
_symmetry_space_group_name_H-M 'P 1'
_symmetry_Int_Tables_number 1
_cell_length_a 9.357
_cell_length_b 9.357
_cell_length_c 9.357
_cell_angle_alpha 60.06
_cell_angle_beta 60.06
_cell_angle_gamma 60.06
loop_
_symmetry_equiv_pos_as_xyz
'x,y,z'
loop_
_atom_site_label
_atom_site_type_symbol
_atom_site_fract_x
_atom_site_fract_y
_atom_site_fract_z
Ac1 Ac 0.000 0.000 0.000
Ac2 Ac 0.000 0.500 0.500
Ac3 Ac 0.500 0.000 0.500
Ac4 Ac 0.500 0.500 0.000
Ce1 Ce 0.500 0.500 0.500
Tm1 Tm 0.000 0.000 0.500
Tm2 Tm 0.000 0.500 0.000
Tm3 Tm 0.500 0.000 0.000
Bi1 Bi 0.239 0.744 0.744
Bi2 Bi 0.241 0.241 0.241
Bi3 Bi 0.256 0.256 0.761
Bi4 Bi 0.256 0.761 0.256
Bi5 Bi 0.744 0.239 0.744
Bi6 Bi 0.744 0.744 0.239
Bi7 Bi 0.759 0.759 0.759
Bi8 Bi 0.761 0.256 0.256
```

Summary:
Formation energy ... -14.0 eV/f.u.
Total magnetic moment ... 0.71 Bohr magnetons per cell

=====

Q: Which formula does entry 8 have?
A: AcCeBiTe